Entry 1:
# LiReTe2 PBE relaxed
data_LiReTe2
_symmetry_space_group_name_H-M 'P 1'
_symmetry_Int_Tables_number 1
_symmetry_space_group_name_Hall 'P 1'
_cell_length_a 5.7126
_cell_length_b 5.7126
_cell_length_c 5.7126
_cell_angle_alpha 138.87
_cell_angle_beta 138.87
_cell_angle_gamma 59.58
loop_
_atom_site_label
_atom_site_type_symbol
_atom_site_fract_x
_atom_site_fract_y
_atom_site_fract_z
Li1 Li 0.0000 0.0000 0.0000
Re1 Re 0.2500 0.7500 0.5000
Te1 Te 0.5000 0.5000 0.0000
Te2 Te 0.7500 0.2500 0.5000
# Theoretical density, g/cm³: 9.3
# Fermi-level density of states, states/eV/cell: 3.5
# ΔE_f (raw), eV/atom: 0.557
# Relative energy among the computed polymorphs, kJ/mol of formula units: 203

***

Entry 2:
# In2GaAgHg6 PBE relaxed
data_In2GaAgHg6
_symmetry_space_group_name_H-M 'P 1'
_symmetry_Int_Tables_number 1
_symmetry_space_group_name_Hall 'P 1'
_cell_length_a 6.2068
_cell_length_b 6.4385
_cell_length_c 6.9555
_cell_angle_alpha 86.08
_cell_angle_beta 71.05
_cell_angle_gamma 74.89
loop_
_atom_site_label
_atom_site_type_symbol
_atom_site_fract_x
_atom_site_fract_y
_atom_site_fract_z
In1 In 0.0000 0.0000 0.0000
In2 In 0.0501 0.3042 0.4791
Ga1 Ga 0.3976 0.1730 0.7130
Ag1 Ag 0.2285 0.6536 0.2432
Hg1 Hg 0.0185 0.5186 0.9731
Hg2 Hg 0.4256 0.7686 0.5406
Hg3 Hg 0.4749 0.9940 0.0990
Hg4 Hg 0.5991 0.4672 0.8629
Hg5 Hg 0.6320 0.3197 0.3227
Hg6 Hg 0.8681 0.8668 0.6057
# Theoretical density, g/cm³: 10.5
# Formation energy, eV/atom: 0.046
# Fermi-level density of states, states/eV/cell: 1.9

***

Question: Which formula does entry 2 have?
Answer: In2GaAgHg6